(1)
A plane-wave DFT calculation with PBE was carried out for crystalline CdSbAsPb2 at its relaxed geometry.

abc: 8.786 8.786 7.680
angles: 90.00 90.00 149.55
Sites, in units of the cell vectors:
1 Cd 0.098 0.902 0.500
2 Cd 0.902 0.098 0.000
3 Sb 0.075 0.925 0.887
4 Sb 0.925 0.075 0.387
5 As 0.320 0.680 0.900
6 As 0.680 0.320 0.400
7 Pb 0.294 0.706 0.285
8 Pb 0.463 0.537 0.681
9 Pb 0.537 0.463 0.181
10 Pb 0.706 0.294 0.785

Space group = Cmc2_1
Total DFT energy (no corrections) = -3.44 eV/atom

=====

(2)
A plane-wave DFT calculation with PBE was carried out for crystalline Cd2SiAs4Pb at its relaxed geometry.

abc: 7.311 7.311 7.311
angles: 130.49 130.49 72.62
Sites, in units of the cell vectors:
1 Cd 0.000 0.000 0.000
2 Cd 0.750 0.250 0.500
3 Si 0.500 0.500 0.000
4 As 0.152 0.609 0.988
5 As 0.391 0.379 0.543
6 As 0.621 0.164 0.012
7 As 0.836 0.848 0.457
8 Pb 0.250 0.750 0.500

Space group = I-4
Total DFT energy (no corrections) = -3.75 eV/atom

=====

Q: Which of these has the highest total DFT energy (no corrections)?
A: CdSbAsPb2

=====

What did the second record say?
A plane-wave DFT calculation with PBE was carried out for crystalline Cd2SiAs4Pb at its relaxed geometry.

abc: 7.311 7.311 7.311
angles: 130.49 130.49 72.62
Sites, in units of the cell vectors:
1 Cd 0.000 0.000 0.000
2 Cd 0.750 0.250 0.500
3 Si 0.500 0.500 0.000
4 As 0.152 0.609 0.988
5 As 0.391 0.379 0.543
6 As 0.621 0.164 0.012
7 As 0.836 0.848 0.457
8 Pb 0.250 0.750 0.500

Space group = I-4
Total DFT energy (no corrections) = -3.75 eV/atom